Dy2ZnSi2Rh5 | PBE-GGA | relaxed

Geometry as extended XYZ:
```
20
Lattice="-3.1013 0.9946 -1.0862 1.0326 -5.4902 -7.9754 -4.0474 -7.5310 4.6603" Properties=species:S:1:pos:R:3 pbc="T T T"
Rh -1.4423 -6.2072 -6.9916
Rh -3.8415 -7.9762 -1.7613
Rh -2.2747 -4.0503 -2.6400
Rh -3.5518 -5.3686 -0.2005
Rh -4.5074 -10.8523 -2.4935
Rh -1.0344 -2.2478 -4.5308
Rh -1.6088 -1.1743 -1.9078
Rh -4.6739 -5.8193 2.5904
Rh -2.5643 -6.6580 -4.2008
Rh -3.5743 -3.2682 1.7870
Si -2.4032 -5.4044 1.9129
Si -2.8917 -10.0192 -0.9179
Si -0.1231 -3.0020 -2.3972
Si -0.6116 -7.6167 -5.2280
Dy -0.0080 -5.0095 -4.5642
Dy -3.0068 -8.0117 1.2491
Dy -1.1403 -3.4106 0.1328
Dy -1.8745 -9.6106 -3.4479
Zn -1.5074 -6.5106 -1.6575
Zn 0.0000 0.0000 0.0000
```

The density of states at the Fermi level comes out at 4.406 states/eV/cell. Its space-group type is P4/mbm. The total energy is -6.728 eV per atom. The size of the total moment is 0.00 μB per formula unit. The calculation puts the uncorrected formation energy at -919 meV per atom.



SmDy2Rh9 | PBE-GGA | relaxed

Geometry as extended XYZ:
```
12
Lattice="-0.2932 -0.0950 5.2658 -0.8957 -4.5521 2.5099 8.2399 -2.9976 3.0466" Properties=species:S:1:pos:R:3 pbc="T T T"
Rh 3.5255 -3.8223 5.4111
Rh 1.4070 -2.7305 6.6354
Rh 5.9455 -2.6830 5.5665
Rh 1.1055 -4.9617 5.2558
Rh 5.6439 -4.9142 4.1869
Rh 7.4389 -6.0942 8.2300
Rh -0.3879 -1.5504 2.5923
Rh 5.4971 -4.9618 6.8229
Rh 1.5538 -2.6829 3.9994
Dy 2.4172 -5.2519 7.9655
Dy 4.6338 -2.3927 2.8568
Sm 0.0000 0.0000 0.0000
```

The density of states at the Fermi level comes out at 13.148 states/eV/cell. For the formation energy, the calculation gives -0.57 eV per atom. Its space-group type is R-3m. The total energy is -7.239 eV per atom. The size of the total moment is 0.00 μB per formula unit.



Sm4Dy3Rh4 | PBE-GGA | relaxed

Geometry as extended XYZ:
```
11
Lattice="-1.7469 -2.0248 -2.5456 7.8957 -3.1818 -2.8876 -3.6270 -3.5644 8.0018" Properties=species:S:1:pos:R:3 pbc="T T T"
Sm 4.3647 -5.2204 -1.5205
Sm 1.4213 -4.0342 -0.4440
Sm -1.8430 -3.5507 4.0890
Sm 1.1005 -4.7368 3.0126
Dy 3.9478 -1.5909 -1.4438
Dy -0.1103 -1.2307 1.0546
Dy 2.6320 -7.5404 1.5140
Rh 5.3156 -3.5065 -3.5363
Rh 3.6616 -4.7852 1.2934
Rh -1.1399 -3.9858 1.2751
Rh 0.8331 -1.7001 -1.8969
```

The density of states at the Fermi level comes out at 7.878 states/eV/cell. For the formation energy, the calculation gives -0.56 eV per atom. Its space-group type is Immm. The total energy is -6.202 eV per atom. The size of the total moment is 0.00 μB per formula unit.



Sm2Dy2Rh3 | PBE-GGA | relaxed

Geometry as extended XYZ:
```
7
Lattice="-4.3341 0.7364 -0.1780 1.6413 -2.2101 5.3294 1.1626 7.2387 1.2576" Properties=species:S:1:pos:R:3 pbc="T T T"
Rh -2.1700 1.1763 3.4322
Rh 0.0000 0.0000 0.0000
Rh 0.6399 4.5887 2.9768
Sm 0.2778 2.0817 1.8460
Sm -1.8079 3.6833 4.5630
Dy -0.2937 -0.8037 3.8975
Dy -1.2364 6.5687 2.5115
```

As for the energy above the most stable polymorph in this dataset: 0.106 eV per atom. The density of states at the Fermi level comes out at 3.048 states/eV/cell. For the formation energy, the calculation gives -0.63 eV per atom. Its space-group type is P-1. The total energy is -6.445 eV per atom. The size of the total moment is 0.00 μB per formula unit.



SmDy3Rh3 | PBE-GGA | relaxed

Geometry as extended XYZ:
```
14
Lattice="6.7972 1.2050 0.3358 -1.9494 6.6223 0.3358 -0.3219 -0.5197 6.8979" Properties=species:S:1:pos:R:3 pbc="T T T"
Sm 3.3094 5.3433 6.6144
Sm 1.2166 1.9643 0.9549
Rh 0.0054 0.0088 5.5310
Rh -1.1941 2.9090 5.2163
Rh 4.5206 7.2988 2.0383
Rh 1.3896 7.0807 2.3531
Rh 5.7201 4.3986 2.3531
Rh 3.1364 0.2269 5.2163
Dy 4.6667 2.5246 0.3358
Dy 3.1652 5.1105 3.1296
Dy 1.3608 2.1971 4.4398
Dy 0.1811 5.3027 0.3358
Dy 5.0265 1.9422 3.7847
Dy -0.5005 5.3654 3.7847
```

The density of states at the Fermi level comes out at 8.941 states/eV/cell. For the formation energy, the calculation gives -0.67 eV per atom. Its space-group type is C2/m. The total energy is -6.469 eV per atom. The size of the total moment is 0.00 μB per formula unit.



SmDy3Rh2 | PBE-GGA | relaxed

Geometry as extended XYZ:
```
12
Lattice="-1.1815 0.5758 4.5544 2.9024 -6.3854 1.5603 7.6583 3.8476 1.5003" Properties=species:S:1:pos:R:3 pbc="T T T"
Sm 5.3684 -0.7321 3.9522
Sm 2.6277 1.8128 2.9194
Dy 8.4349 0.4141 2.1359
Dy 3.5747 -1.0263 1.0572
Dy 6.2129 2.6015 3.7497
Dy 3.5044 -5.9849 1.6659
Dy 7.6235 -2.9140 2.3462
Dy 2.5326 -3.1693 3.5246
Rh 8.0054 -1.2410 4.7006
Rh 1.3479 -0.6640 2.9005
Rh 5.8355 0.9352 1.3957
Rh 4.7517 -3.5311 1.6792
```

As for the energy above the most stable polymorph in this dataset: 0.000 eV per atom. The density of states at the Fermi level comes out at 11.274 states/eV/cell. For the formation energy, the calculation gives -0.64 eV per atom. Its space-group type is Pmc2_1. The total energy is -6.180 eV per atom. The size of the total moment is 0.00 μB per formula unit.



Sm2DyRh3 | PBE-GGA | relaxed

Geometry as extended XYZ:
```
6
Lattice="-3.0963 2.0153 3.2424 -1.4753 -0.8392 -4.6131 -1.8899 -5.4797 1.6012" Properties=species:S:1:pos:R:3 pbc="T T T"
Sm -3.1832 -0.7549 1.1553
Sm -3.2782 -3.5486 -0.9249
Dy 0.0000 0.0000 0.0000
Rh -4.1413 -3.5328 1.9670
Rh -2.3202 -0.7707 -1.7366
Rh -0.9449 -2.7398 0.8006
```

As for the energy above the most stable polymorph in this dataset: 0.000 eV per atom. The density of states at the Fermi level comes out at 4.828 states/eV/cell. For the formation energy, the calculation gives -0.77 eV per atom. Its space-group type is P-3m1. The total energy is -6.787 eV per atom. The size of the total moment is 0.00 μB per formula unit.



Sm2DyRh4 | PBE-GGA | relaxed

Geometry as extended XYZ:
```
7
Lattice="4.5760 -0.0489 0.8754 2.0210 4.1058 0.8754 -0.9397 -0.5779 7.6710" Properties=species:S:1:pos:R:3 pbc="T T T"
Rh 4.2111 2.5897 2.0565
Rh -0.3180 -0.1956 5.0966
Rh 1.4462 0.8893 7.3653
Rh 5.9753 3.6745 4.3251
Sm 3.8883 2.3911 6.5080
Sm 1.7690 1.0879 2.9137
Dy 0.0000 0.0000 0.0000
```

The density of states at the Fermi level comes out at 4.576 states/eV/cell. For the formation energy, the calculation gives -0.52 eV per atom. Its space-group type is C2/m. The total energy is -6.730 eV per atom. The size of the total moment is 0.00 μB per formula unit.